The following is a DFT calculation (PBE-GGA) of crystalline SmInS2 at its relaxed geometry.

symmetry: P6_3/mmc
total energy: -42.4 eV per cell

Lattice parameters (Å, degrees): 4.0758 4.0758 15.0363 90.00 90.00 120.00
Atoms (fractional coordinates):
S  0.3333  0.6667  0.6027
S  0.3333  0.6667  0.8973
Sm  0.0000  0.0000  0.0000
Sm  0.0000  0.0000  0.5000
S  0.6667  0.3333  0.3973
In  0.3333  0.6667  0.2500
S  0.6667  0.3333  0.1027
In  0.6667  0.3333  0.7500